# 1
Computed, not measured: a relaxed ReGeN2F crystal at the PBE level of DFT.

Output
SG: P4/mmm, No. 123
Crystal system: tetragonal
Offset from the most stable computed form in meV/atom: 879.5
ΔE_f (raw) in meV per atom: 996
Calculated total energy in eV/cell: -30.6
ρ in g/cm3: 9.04
Density of states at the Fermi level in states/eV/f.u.: 0.508

Cell lengths 3.896, 3.896, 3.700 Å; angles 90.00, 90.00, 90.00 degrees
Fractional coordinates of all 5 atoms:
1 Re 0.000 0.000 0.000
2 Ge 0.500 0.500 0.500
3 N 0.000 0.500 0.500
4 N 0.500 0.000 0.500
5 F 0.500 0.500 0.000

# 2
Computed, not measured: a relaxed ReGeNF2 crystal at the PBE level of DFT.

Output
SG: P4/mmm, No. 123
Crystal system: tetragonal
Offset from the most stable computed form in meV/atom: 730.2
ΔE_f (raw) in meV per atom: 460
Calculated total energy in eV/cell: -26.8
ρ in g/cm3: 7.43
Density of states at the Fermi level in states/eV/f.u.: 1.446

Cell lengths 4.109, 4.109, 4.118 Å; angles 90.00, 90.00, 90.00 degrees
Fractional coordinates of all 5 atoms:
1 Re 0.000 0.000 0.000
2 Ge 0.500 0.500 0.500
3 N 0.500 0.500 0.000
4 F 0.000 0.500 0.500
5 F 0.500 0.000 0.500

# 3
Computed, not measured: a relaxed GeRuN2F crystal at the PBE level of DFT.

Output
SG: P4/mmm, No. 123
Crystal system: tetragonal
Offset from the most stable computed form in meV/atom: 0.0
ΔE_f (raw) in meV per atom: 394
Calculated total energy in eV/cell: -30.4
ρ in g/cm3: 5.81
Density of states at the Fermi level in states/eV/f.u.: 3.072

Cell lengths 3.870, 3.870, 4.212 Å; angles 90.00, 90.00, 90.00 degrees
Fractional coordinates of all 5 atoms:
1 Ge 0.000 0.000 0.000
2 Ru 0.500 0.500 0.500
3 N 0.000 0.500 0.500
4 N 0.500 0.000 0.500
5 F 0.500 0.500 0.000

# 4
Computed, not measured: a relaxed GeRuN2F crystal at the PBE level of DFT.

Output
SG: P4/mmm, No. 123
Crystal system: tetragonal
Offset from the most stable computed form in meV/atom: 406.4
ΔE_f (raw) in meV per atom: 801
Calculated total energy in eV/cell: -28.4
ρ in g/cm3: 6.68
Density of states at the Fermi level in states/eV/f.u.: 4.190

Cell lengths 3.840, 3.840, 3.719 Å; angles 90.00, 90.00, 90.00 degrees
Fractional coordinates of all 5 atoms:
1 Ge 0.000 0.000 0.000
2 Ru 0.500 0.500 0.500
3 N 0.000 0.500 0.000
4 N 0.500 0.000 0.000
5 F 0.000 0.000 0.500

# 5
Computed, not measured: a relaxed GeS2NF crystal at the PBE level of DFT.

Output
SG: P4/mmm, No. 123
Crystal system: tetragonal
Offset from the most stable computed form in meV/atom: 465.7
ΔE_f (raw) in meV per atom: 1365
Calculated total energy in eV/cell: -16.2
ρ in g/cm3: 3.41
Density of states at the Fermi level in states/eV/f.u.: 2.189

Cell lengths 4.521, 4.521, 4.041 Å; angles 90.00, 90.00, 90.00 degrees
Fractional coordinates of all 5 atoms:
1 Ge 0.000 0.000 0.000
2 S 0.000 0.500 0.500
3 S 0.500 0.000 0.500
4 N 0.500 0.500 0.000
5 F 0.500 0.500 0.500

# 6
Computed, not measured: a relaxed GeSNF2 crystal at the PBE level of DFT.

Output
SG: P4/mmm, No. 123
Crystal system: tetragonal
Offset from the most stable computed form in meV/atom: 84.0
ΔE_f (raw) in meV per atom: 28
Calculated total energy in eV/cell: -20.7
ρ in g/cm3: 3.53
Density of states at the Fermi level in states/eV/f.u.: 1.487

Cell lengths 4.754, 4.754, 3.262 Å; angles 90.00, 90.00, 90.00 degrees
Fractional coordinates of all 5 atoms:
1 Ge 0.000 0.000 0.000
2 S 0.500 0.500 0.500
3 N 0.500 0.500 0.000
4 F 0.000 0.500 0.500
5 F 0.500 0.000 0.500